No. 1
Density functional theory data (PBE-GGA) for an optimized crystal structure of NbAu2Br.

a b c (Å): 3.315 5.656 17.199
angles (deg): 90.00 90.00 90.00
Space group Cmcm (No. 63)
One atom of each set of equivalent atoms:
Nb: 0.000 0.000 0.000
Au: 0.000 0.342 0.119
Br: 0.000 0.030 0.250


No. 2
Density functional theory data (PBE-GGA) for an optimized crystal structure of Tl2NiAuBr6.

a b c (Å): 10.438 10.438 10.438
angles (deg): 90.00 90.00 90.00
Space group Fm-3m (No. 225)
One atom of each set of equivalent atoms:
Tl: 0.250 0.250 0.250
Ni: 0.000 0.000 0.000
Au: 0.000 0.000 0.500
Br: 0.000 0.000 0.238


Results for final energy: -4.401; -2.801 (in eV/atom, following the order of the records).
Results for ρ: 11.67; 6.68 (in g/cm³, following the order of the records).